No. 1
# ThGaCoH

ThGaCoH after structural relaxation (PBE, the Alexandria database).

Output
Total DFT energy (no corrections)   -22.7 eV per cell

a = 4.171 Å, b = 4.171 Å, c = 4.223 Å
α = 90.00°, β = 90.00°, γ = 120.00°
Fractional coordinates of all 4 atoms:
Th 0.000 0.000 0.000
Ga 0.667 0.333 0.497
Co 0.333 0.667 0.397
H 0.333 0.667 0.013


No. 2
# LiPAu2Se4

LiPAu2Se4 after structural relaxation (PBE, the Alexandria database).

Output
Formation energy from raw total energies   -0.21 eV/atom

a = 7.088 Å, b = 7.088 Å, c = 7.088 Å
α = 131.25°, β = 131.25°, γ = 71.42°
Fractional coordinates of all 8 atoms:
Li 0.000 0.000 0.000
P 0.750 0.250 0.500
Au 0.250 0.750 0.500
Au 0.500 0.500 0.000
Se 0.086 0.140 0.494
Se 0.408 0.914 0.054
Se 0.647 0.592 0.506
Se 0.860 0.353 0.946


No. 3
# Sb2OsW

Sb2OsW after structural relaxation (PBE, the Alexandria database).

Output
Formation energy from raw total energies   0.65 eV/atom
Excess energy over the best structure of this formula in the dataset   158 kJ/mol of formula units

a = 6.754 Å, b = 6.754 Å, c = 6.754 Å
α = 154.04°, β = 142.56°, γ = 46.13°
Fractional coordinates of all 4 atoms:
Sb 0.000 0.000 0.000
Sb 0.739 0.239 0.500
Os 0.538 0.538 0.000
W 0.354 0.854 0.500


No. 4
# YTcSe2Br

YTcSe2Br after structural relaxation (PBE, the Alexandria database).

Output
Formation energy from raw total energies   -0.25 eV/atom
Excess energy over the best structure of this formula in the dataset   0 kJ/mol of formula units

a = 4.985 Å, b = 4.985 Å, c = 4.940 Å
α = 90.00°, β = 90.00°, γ = 90.00°
Fractional coordinates of all 5 atoms:
Y 0.000 0.000 0.000
Tc 0.500 0.500 0.500
Se 0.000 0.500 0.500
Se 0.500 0.000 0.500
Br 0.500 0.500 0.000


No. 5
# MgAlCr2Hg

MgAlCr2Hg after structural relaxation (PBE, the Alexandria database).

Output
ΔH_f (0 K)   1.302 eV per atom

a = 5.050 Å, b = 5.050 Å, c = 4.990 Å
α = 90.00°, β = 90.00°, γ = 90.00°
Fractional coordinates of all 5 atoms:
Mg 0.000 0.000 0.000
Al 0.500 0.500 0.500
Cr 0.000 0.500 0.000
Cr 0.500 0.000 0.000
Hg 0.000 0.000 0.500


No. 6
# DyErTl2Se4

DyErTl2Se4 after structural relaxation (PBE, the Alexandria database).

Output
Formation energy from raw total energies   -1.38 eV/atom

a = 7.221 Å, b = 4.169 Å, c = 8.140 Å
α = 90.00°, β = 107.19°, γ = 90.00°
Fractional coordinates of all 8 atoms:
Dy 0.000 0.000 0.000
Er 0.500 0.500 0.000
Tl 0.000 0.500 0.500
Tl 0.500 0.000 0.500
Se 0.236 0.500 0.204
Se 0.268 0.000 0.797
Se 0.732 0.000 0.203
Se 0.764 0.500 0.796


No. 7
# CaBS

CaBS after structural relaxation (PBE, the Alexandria database).

Output
Formation energy from raw total energies   -0.91 eV/atom
Excess energy over the best structure of this formula in the dataset   16 kJ/mol of formula units

a = 5.348 Å, b = 5.348 Å, c = 8.001 Å
α = 125.89°, β = 125.89°, γ = 37.71°
Fractional coordinates of all 6 atoms:
Ca 0.000 0.000 0.000
Ca 0.501 0.501 0.434
B 0.248 0.248 0.450
B 0.747 0.747 0.366
S 0.256 0.256 0.698
S 0.756 0.756 0.120


No. 8
# SrTl2I8

SrTl2I8 after structural relaxation (PBE, the Alexandria database).

Output
Formation energy from raw total energies   -0.64 eV/atom

a = 9.154 Å, b = 9.154 Å, c = 7.488 Å
α = 95.48°, β = 95.48°, γ = 83.23°
Fractional coordinates of all 11 atoms:
Sr 0.000 0.000 0.000
Tl 0.218 0.218 0.650
Tl 0.782 0.782 0.350
I 0.076 0.709 0.239
I 0.216 0.216 0.267
I 0.291 0.924 0.761
I 0.416 0.416 0.802
I 0.584 0.584 0.198
I 0.709 0.076 0.239
I 0.784 0.784 0.733
I 0.924 0.291 0.761


No. 9
# BeAs2Ru

BeAs2Ru after structural relaxation (PBE, the Alexandria database).

Output
ΔH_f (0 K)   -0.030 eV per atom

a = 3.422 Å, b = 3.962 Å, c = 4.668 Å
α = 90.00°, β = 111.42°, γ = 90.00°
Fractional coordinates of all 4 atoms:
Be 0.000 0.000 0.000
As 0.443 0.500 0.879
As 0.731 0.000 0.461
Ru 0.150 0.500 0.296


No. 10
# AcDy12Tm5

AcDy12Tm5 after structural relaxation (PBE, the Alexandria database).

Output
ΔH_f (0 K)   0.107 eV per atom

a = 10.331 Å, b = 10.331 Å, c = 5.682 Å
α = 90.01°, β = 90.01°, γ = 109.91°
Fractional coordinates of all 18 atoms:
Ac 0.000 0.000 0.000
Dy 0.029 0.667 0.000
Dy 0.169 0.525 0.500
Dy 0.204 0.204 0.502
Dy 0.309 0.309 0.002
Dy 0.333 0.971 0.000
Dy 0.475 0.831 0.500
Dy 0.525 0.169 0.500
Dy 0.667 0.029 0.000
Dy 0.691 0.691 0.998
Dy 0.796 0.796 0.498
Dy 0.831 0.475 0.500
Dy 0.971 0.333 0.000
Tm 0.143 0.857 0.500
Tm 0.360 0.640 0.000
Tm 0.500 0.500 0.500
Tm 0.640 0.360 0.000
Tm 0.857 0.143 0.500


No. 11
# ScPaZnO6

ScPaZnO6 after structural relaxation (PBE, the Alexandria database).

Output
Formation energy from raw total energies   -2.43 eV/atom

a = 5.265 Å, b = 5.265 Å, c = 4.843 Å
α = 90.00°, β = 90.00°, γ = 120.00°
Fractional coordinates of all 9 atoms:
Sc 0.000 0.000 0.000
Pa 0.667 0.333 0.500
Zn 0.333 0.667 0.000
O 0.003 0.338 0.237
O 0.003 0.665 0.763
O 0.335 0.338 0.763
O 0.335 0.997 0.237
O 0.662 0.665 0.237
O 0.662 0.997 0.763


No. 12
# CaAlMo2

CaAlMo2 after structural relaxation (PBE, the Alexandria database).

Output
ΔH_f (0 K)   0.365 eV per atom

a = 5.426 Å, b = 5.426 Å, c = 5.426 Å
α = 143.09°, β = 126.17°, γ = 67.06°
Fractional coordinates of all 4 atoms:
Ca 0.000 0.000 0.000
Al 0.720 0.220 0.500
Mo 0.266 0.766 0.500
Mo 0.462 0.462 0.000


No. 13
# Nd4SmIn4

Nd4SmIn4 after structural relaxation (PBE, the Alexandria database).

Output
ΔH_f (0 K)   -0.145 eV per atom

a = 7.231 Å, b = 7.231 Å, c = 11.017 Å
α = 90.00°, β = 90.00°, γ = 90.00°
Fractional coordinates of all 18 atoms:
Nd 0.026 0.250 0.176
Nd 0.250 0.026 0.676
Nd 0.250 0.474 0.676
Nd 0.474 0.250 0.176
Nd 0.526 0.750 0.824
Nd 0.750 0.526 0.324
Nd 0.750 0.974 0.324
Nd 0.974 0.750 0.824
Sm 0.250 0.750 0.250
Sm 0.750 0.250 0.750
In 0.016 0.250 0.477
In 0.250 0.016 0.977
In 0.250 0.484 0.977
In 0.484 0.250 0.477
In 0.516 0.750 0.523
In 0.750 0.516 0.023
In 0.750 0.984 0.023
In 0.984 0.750 0.523


No. 14
# Co2BiRh2

Co2BiRh2 after structural relaxation (PBE, the Alexandria database).

Output
Excess energy over the best structure of this formula in the dataset   0 kJ/mol of formula units
ΔH_f (0 K)   0.302 eV per atom

a = 7.369 Å, b = 7.369 Å, c = 2.909 Å
α = 90.00°, β = 90.00°, γ = 90.00°
Fractional coordinates of all 10 atoms:
Co 0.158 0.342 0.000
Co 0.342 0.842 0.000
Co 0.658 0.158 0.000
Co 0.842 0.658 0.000
Bi 0.000 0.000 0.500
Bi 0.500 0.500 0.500
Rh 0.133 0.633 0.500
Rh 0.367 0.133 0.500
Rh 0.633 0.867 0.500
Rh 0.867 0.367 0.500


No. 15
# FeNiAg2

FeNiAg2 after structural relaxation (PBE, the Alexandria database).

Output
Excess energy over the best structure of this formula in the dataset   70 kJ/mol of formula units
ΔH_f (0 K)   0.356 eV per atom

a = 2.757 Å, b = 3.958 Å, c = 5.417 Å
α = 90.00°, β = 90.00°, γ = 90.00°
Fractional coordinates of all 4 atoms:
Fe 0.000 0.000 0.000
Ni 0.000 0.000 0.500
Ag 0.500 0.500 0.252
Ag 0.500 0.500 0.748


No. 16
# AcAl4Cu2

AcAl4Cu2 after structural relaxation (PBE, the Alexandria database).

Output
Excess energy over the best structure of this formula in the dataset   53 kJ/mol of formula units
ΔH_f (0 K)   -0.284 eV per atom

a = 7.510 Å, b = 7.510 Å, c = 4.291 Å
α = 90.00°, β = 90.00°, γ = 146.77°
Fractional coordinates of all 7 atoms:
Ac 0.000 0.000 0.000
Al 0.186 0.814 0.500
Al 0.312 0.688 0.000
Al 0.688 0.312 0.000
Al 0.814 0.186 0.500
Cu 0.407 0.593 0.500
Cu 0.593 0.407 0.500


No. 17
# NdCd6Au4

NdCd6Au4 after structural relaxation (PBE, the Alexandria database).

Output
ΔH_f (0 K)   -0.306 eV per atom

a = 8.485 Å, b = 8.485 Å, c = 3.995 Å
α = 90.00°, β = 90.00°, γ = 120.00°
Fractional coordinates of all 11 atoms:
Nd 0.000 0.000 0.000
Cd 0.198 0.397 0.500
Cd 0.198 0.802 0.500
Cd 0.538 0.076 0.000
Cd 0.538 0.462 0.000
Cd 0.603 0.802 0.500
Cd 0.924 0.462 0.000
Au 0.333 0.667 0.000
Au 0.349 0.175 0.500
Au 0.825 0.175 0.500
Au 0.825 0.651 0.500


No. 18
# Pm3TmZr2N6

Pm3TmZr2N6 after structural relaxation (PBE, the Alexandria database).

Output
Formation energy from raw total energies   -1.61 eV/atom

a = 5.934 Å, b = 5.934 Å, c = 6.019 Å
α = 99.45°, β = 99.45°, γ = 120.00°
Fractional coordinates of all 12 atoms:
Pm 0.000 0.000 0.000
Pm 0.334 0.666 0.000
Pm 0.666 0.334 0.000
Tm 0.500 0.500 0.500
Zr 0.166 0.834 0.500
Zr 0.834 0.166 0.500
N 0.084 0.425 0.276
N 0.232 0.232 0.722
N 0.425 0.084 0.276
N 0.575 0.916 0.724
N 0.768 0.768 0.278
N 0.916 0.575 0.724


No. 19
# Tm5SeS4

Tm5SeS4 after structural relaxation (PBE, the Alexandria database).

Output
Formation energy from raw total energies   -1.87 eV/atom

a = 15.998 Å, b = 15.998 Å, c = 15.998 Å
α = 13.91°, β = 13.91°, γ = 13.91°
Fractional coordinates of all 10 atoms:
Tm 0.000 0.000 0.000
Tm 0.204 0.204 0.204
Tm 0.399 0.399 0.399
Tm 0.601 0.601 0.601
Tm 0.796 0.796 0.796
Se 0.500 0.500 0.500
S 0.098 0.098 0.098
S 0.301 0.301 0.301
S 0.699 0.699 0.699
S 0.902 0.902 0.902


No. 20
# TbZrCo

TbZrCo after structural relaxation (PBE, the Alexandria database).

Output
Excess energy over the best structure of this formula in the dataset   33 kJ/mol of formula units
ΔH_f (0 K)   -0.057 eV per atom

a = 6.205 Å, b = 6.205 Å, c = 6.205 Å
α = 149.06°, β = 149.06°, γ = 44.32°
Fractional coordinates of all 3 atoms:
Tb 0.000 0.000 0.000
Zr 0.281 0.281 0.000
Co 0.667 0.667 0.000